1.
! MnAl2Si2 (PBE, relaxed); values from VASP
&SYSTEM
  ibrav = 0, nat = 10, ntyp = 3
/
ATOMIC_SPECIES
Si 28.09 Si.upf
Mn 54.94 Mn.upf
Al 26.98 Al.upf
CELL_PARAMETERS angstrom
6.112 0.000 0.000
0.000 6.112 0.000
0.000 0.000 3.817
ATOMIC_POSITIONS angstrom
Si 2.208 5.264 0.000
Si 5.264 3.904 0.000
Si 3.904 0.848 0.000
Si 0.848 2.208 0.000
Mn 0.000 0.000 0.000
Mn 3.056 3.056 0.000
Al 1.044 4.100 1.909
Al 4.100 5.068 1.909
Al 5.068 2.012 1.909
Al 2.012 1.044 1.909
! * SG: No. 127
! * ΔE_f (raw): -1.24 kJ/mol of atoms
! * V: 143 Å³/cell

=====

2.
! MnAlSi2 (PBE, relaxed); values from VASP
&SYSTEM
  ibrav = 0, nat = 8, ntyp = 3
/
ATOMIC_SPECIES
Si 28.09 Si.upf
Mn 54.94 Mn.upf
Al 26.98 Al.upf
CELL_PARAMETERS angstrom
-3.782 -5.921 0.296
5.918 -3.791 -0.227
1.193 -4.811 2.531
ATOMIC_POSITIONS angstrom
Si -1.444 -5.562 0.799
Si 3.642 -4.128 0.519
Si 1.511 -7.132 1.932
Si 2.948 -12.225 1.952
Mn 0.000 0.000 0.000
Mn -0.761 -7.794 1.431
Al 1.068 -4.856 0.035
Al 4.089 -6.729 1.170
! * SG: No. 122
! * ΔE_f (raw): 27.25 kJ/mol of atoms
! * V: 124 Å³/cell

=====

3.
! MnAlSi2 (PBE, relaxed); values from VASP
&SYSTEM
  ibrav = 0, nat = 4, ntyp = 3
/
ATOMIC_SPECIES
Si 28.09 Si.upf
Mn 54.94 Mn.upf
Al 26.98 Al.upf
CELL_PARAMETERS angstrom
-1.901 -3.574 -1.859
2.298 -3.561 1.373
-1.808 3.336 2.335
ATOMIC_POSITIONS angstrom
Si 0.000 0.000 0.000
Si 0.198 -3.568 -0.243
Mn -1.755 -1.903 0.116
Al 0.344 -1.896 1.733
! * SG: No. 139
! * ΔE_f (raw): 5.65 kJ/mol of atoms
! * V: 50 Å³/cell